Ba3ZnI | Alexandria | PBE | optimized geometry; energy relative to the elements, uncorrected = -0.33 eV/atom
1.0
6.4826 0.0000 0.0000
0.0000 6.4826 0.0000
0.0000 0.0000 6.4826
Zn Ba I
1 3 1
Direct
0.0000 0.0000 0.0000
0.0000 0.5000 0.0000
0.5000 0.0000 0.0000
0.0000 0.0000 0.5000
0.5000 0.5000 0.5000



Be4Cu | Alexandria | PBE | optimized geometry; calculated formation energy = 0.569 eV/atom
1.0
0.6945 -3.5020 -2.3068
-2.3600 -0.9848 3.3954
-2.0528 2.8721 -2.3675
Be Cu
4 1
Direct
0.0000 0.0000 0.5000
0.0000 0.5000 0.0000
0.5000 0.5000 0.5000
0.5000 0.0000 0.0000
0.0000 0.0000 0.0000



no.,VASP energy (eV for the cell shown),excess energy over the best structure of this formula in the dataset (eV/f.u.),Fermi-level density of states (states/eV/f.u.)
1,-10.23,1.17,7.49
2,-16.15,2.96,0.33